Entry from Alexandria via LeMat-Bulk: a PBEsol-optimized structure of Na3ZrAu (meta-GGA SCAN). Values from VASP.

Cell and atoms, written as Quantum ESPRESSO input:
```
&SYSTEM
  ibrav = 0, nat = 5, ntyp = 3
/
ATOMIC_SPECIES
Na 22.99 Na.upf
Zr 91.22 Zr.upf
Au 196.97 Au.upf
CELL_PARAMETERS angstrom
-2.9611 -1.6518 4.1491
4.2598 -2.5396 2.0290
1.3410 4.4197 2.7166
ATOMIC_POSITIONS crystal
Na 0.0000 0.0000 0.5000
Na 0.0000 0.5000 0.0000
Na 0.5000 0.0000 0.0000
Zr 0.5000 0.5000 0.5000
Au 0.0000 0.0000 0.0000
```

Properties
Crystal system ... cubic
Symmetry ... No. 221

---

Entry from Alexandria via LeMat-Bulk: a PBEsol-optimized structure of Cs (meta-GGA SCAN). Values from VASP.

Cell and atoms, written as Quantum ESPRESSO input:
```
&SYSTEM
  ibrav = 0, nat = 4, ntyp = 1
/
ATOMIC_SPECIES
Cs 132.91 Cs.upf
CELL_PARAMETERS angstrom
5.1555 0.0000 0.0000
2.5777 9.3535 0.0000
2.5777 0.0000 9.3992
ATOMIC_POSITIONS crystal
Cs 0.1305 0.7389 0.0000
Cs 0.8695 0.2611 0.0000
Cs 0.8805 0.2389 0.5000
Cs 0.6195 0.7611 0.5000
```

Properties
Energy above the lowest structure with this stoichiometry ... 52 meV per atom
Crystal system ... orthorhombic
Symmetry ... No. 70

---

Uncorrected energy across the listed records, respectively: -21.850 -37.759 eV/atom.
E_form across the listed records, respectively: 0.651 0.052 eV/atom.